(1)
DFT (PBE) results for a relaxed Tb4Al2Ga crystal.

Lattice parameters (Å, degrees): 8.7867 8.7867 8.7867 33.54 33.54 33.54
Fractional coordinates of all 7 atoms:
1 Tb 0.1214 0.1214 0.1214
2 Tb 0.3730 0.3730 0.3730
3 Tb 0.6270 0.6270 0.6270
4 Tb 0.8786 0.8786 0.8786
5 Al 0.2496 0.2496 0.2496
6 Al 0.7504 0.7504 0.7504
7 Ga 0.5000 0.5000 0.5000

Results
Energy of formation, eV/f.u.: -2.04
D(E_F), states/eV/atom: 0.892
V, Å³/f.u.: 184.4
Total DFT energy (no corrections), eV/cell: -31.1

(2)
DFT (PBE) results for a relaxed LiLaPt crystal.

Lattice parameters (Å, degrees): 4.1311 4.1311 7.8644 90.00 90.00 90.00
Fractional coordinates of all 6 atoms:
1 Li 0.2500 0.7500 0.0000
2 Li 0.7500 0.2500 0.0000
3 La 0.2500 0.2500 0.3307
4 La 0.7500 0.7500 0.6693
5 Pt 0.2500 0.2500 0.7410
6 Pt 0.7500 0.7500 0.2590

Results
Energy of formation, eV/f.u.: -2.55
D(E_F), states/eV/atom: 0.525
V, Å³/f.u.: 67.1
Total DFT energy (no corrections), eV/cell: -30.9
E above lowest polymorph, meV/atom: 0

(3)
DFT (PBE) results for a relaxed Pm6C2Br3Cl crystal.

Lattice parameters (Å, degrees): 6.7485 6.7485 7.6444 98.47 98.47 120.06
Fractional coordinates of all 12 atoms:
1 Pm 0.0787 0.4380 0.8135
2 Pm 0.2033 0.2033 0.1861
3 Pm 0.4380 0.0787 0.8135
4 Pm 0.5620 0.9213 0.1865
5 Pm 0.7967 0.7967 0.8139
6 Pm 0.9213 0.5620 0.1865
7 C 0.1664 0.8336 0.0000
8 C 0.8336 0.1664 0.0000
9 Br 0.0000 0.0000 0.5000
10 Br 0.3349 0.6651 0.5000
11 Br 0.6651 0.3349 0.5000
12 Cl 0.5000 0.5000 0.0000

Results
D(E_F), states/eV/atom: 0.426
V, Å³/f.u.: 287.9
Formation energy (no corrections), eV per atom: -1.025
Total DFT energy (no corrections), eV/cell: -66.1

- Number 3 is which compound?
  Pm6C2Br3Cl

Repeat the third record exactly.
DFT (PBE) results for a relaxed Pm6C2Br3Cl crystal.

Lattice parameters (Å, degrees): 6.7485 6.7485 7.6444 98.47 98.47 120.06
Fractional coordinates of all 12 atoms:
1 Pm 0.0787 0.4380 0.8135
2 Pm 0.2033 0.2033 0.1861
3 Pm 0.4380 0.0787 0.8135
4 Pm 0.5620 0.9213 0.1865
5 Pm 0.7967 0.7967 0.8139
6 Pm 0.9213 0.5620 0.1865
7 C 0.1664 0.8336 0.0000
8 C 0.8336 0.1664 0.0000
9 Br 0.0000 0.0000 0.5000
10 Br 0.3349 0.6651 0.5000
11 Br 0.6651 0.3349 0.5000
12 Cl 0.5000 0.5000 0.0000

Results
D(E_F), states/eV/atom: 0.426
V, Å³/f.u.: 287.9
Formation energy (no corrections), eV per atom: -1.025
Total DFT energy (no corrections), eV/cell: -66.1